i | Rb3Cr2Br7: relaxed, PBE.

## Properties
D(E_F), states/eV per atom: 0.166

Cell: 5.3422 5.3422 14.2697 Å, 100.79 100.79 90.00°
Atoms (fractional coordinates):
Rb (0.3192, 0.3192, 0.6383)
Rb (0.6808, 0.6808, 0.3617)
Rb (0.5000, 0.5000, 0.0000)
Cr (0.0969, 0.0969, 0.1938)
Cr (0.9031, 0.9031, 0.8062)
Br (0.0000, 0.0000, 0.0000)
Br (0.9053, 0.4053, 0.8107)
Br (0.4053, 0.9053, 0.8107)
Br (0.0947, 0.5947, 0.1893)
Br (0.5947, 0.0947, 0.1893)
Br (0.1919, 0.1919, 0.3837)
Br (0.8081, 0.8081, 0.6163)


ii | Rb3Cr2Br7: relaxed, PBE.

## Properties
D(E_F), states/eV per atom: 0.166

Cell: 5.2865 5.3800 14.0702 Å, 101.02 90.00 90.00°
Atoms (fractional coordinates):
Rb (0.5000, 0.5000, 0.0000)
Rb (0.5000, 0.6788, 0.3577)
Rb (0.5000, 0.3212, 0.6423)
Cr (0.0000, 0.9030, 0.8060)
Cr (0.0000, 0.0970, 0.1940)
Br (0.0000, 0.4058, 0.8115)
Br (0.0000, 0.8088, 0.6176)
Br (0.0000, 0.0000, 0.0000)
Br (0.0000, 0.5942, 0.1885)
Br (0.5000, 0.0948, 0.1895)
Br (0.5000, 0.9052, 0.8105)
Br (0.0000, 0.1912, 0.3824)


Quick ranking, most stable first: i, ii.